Model 1:
5
Lattice="-4.821 -0.392 -0.299 -2.310 -3.454 2.494 -2.879 1.895 4.668" Properties=species:S:1:pos:R:3 comment="PmCd2Pd2 PBE-GGA relaxed" space_group=R-3m pbc="T T T"
Pm -1.155 -1.727 1.247
Cd -3.710 -1.887 3.369
Cd -6.301 -0.064 3.494
Pd -3.715 -0.104 1.124
Pd -6.296 -1.847 5.739

Model 2:
5
Lattice="-4.395 -2.106 0.300 -0.247 -4.873 -0.190 1.480 1.343 4.939" Properties=species:S:1:pos:R:3 comment="PmCd2Pd2 PBE-GGA relaxed" space_group=C2/m pbc="T T T"
Pm -2.197 -1.053 0.150
Cd -2.392 -1.923 3.415
Cd -0.770 -3.712 1.635
Pd -3.670 -3.466 1.315
Pd 0.507 -2.169 3.735

Least stable: model 1

Model 1:
8
Lattice="-4.158 0.125 -0.857 -0.824 -1.866 3.725 1.990 8.038 2.046" Properties=species:S:1:pos:R:3 comment="PmCd2Pd5 PBE-GGA relaxed" space_group=I4/mmm pbc="T T T"
Pm 0.000 0.000 0.000
Cd -0.253 3.619 1.757
Cd -2.739 2.679 3.157
Pd -2.491 -0.870 1.434
Pd -2.209 1.927 0.476
Pd -0.542 0.931 2.768
Pd -0.783 4.370 4.437
Pd -2.450 5.366 2.146

Model 2:
16
Lattice="7.327 0.000 0.000 0.000 7.327 0.000 -3.664 -3.664 5.559" Properties=species:S:1:pos:R:3 comment="PmCd2Pd5 PBE-GGA relaxed" space_group=I4/mcm pbc="T T T"
Pm 3.664 3.664 2.780
Pm 0.000 0.000 2.780
Cd 1.135 2.529 0.000
Cd 4.798 1.135 0.000
Cd 2.529 6.193 0.000
Cd 6.193 4.798 0.000
Pd 1.029 2.634 3.720
Pd 4.693 -1.029 1.839
Pd 0.000 0.000 0.000
Pd 3.664 3.664 0.000
Pd -1.029 4.693 3.720
Pd 2.634 -1.029 3.720
Pd 4.693 1.029 3.720
Pd 1.029 4.693 1.839
Pd -1.029 2.634 1.839
Pd 2.634 1.029 1.839

Least stable: model 2

Model 1:
10
Lattice="5.491 0.000 0.000 0.000 5.491 0.000 -2.746 -2.746 9.309" Properties=species:S:1:pos:R:3 comment="PmCd3Pd PBE-GGA relaxed" space_group=I-4m2 pbc="T T T"
Pm 2.746 0.000 0.987
Pm 2.746 0.000 8.321
Cd 1.357 2.746 6.951
Cd 0.000 4.103 2.358
Cd 0.000 1.389 2.358
Cd -1.357 2.746 6.951
Cd 0.000 0.000 5.467
Cd 2.746 2.746 3.842
Pd 0.000 0.000 0.000
Pd 0.000 2.746 4.654

Model 2:
10
Lattice="6.981 0.000 -0.203 0.000 5.849 0.000 0.422 0.000 5.544" Properties=species:S:1:pos:R:3 comment="PmCd3Pd PBE-GGA relaxed" space_group=P2_1/m pbc="T T T"
Pm 1.187 4.387 3.560
Pm 6.215 1.462 1.782
Cd 5.221 2.950 4.672
Cd 2.181 2.899 0.670
Cd 5.221 5.824 4.672
Cd 2.181 0.025 0.670
Cd 4.388 4.387 2.146
Cd 3.015 1.462 3.195
Pd 6.765 4.387 0.703
Pd 0.638 1.462 4.638

Least stable: model 1